# GaHg3Se4 PBE optimized geometry
# ΔE_f (raw), kJ/mol of atoms: -24.5
# Total DFT energy (no corrections), eV/atom: -2.49
# Total magnetic moment, μB/f.u.: 0.00
# ΔE to the lowest computed polymorph, meV/atom: 0
# DOS at the Fermi energy, states/eV/atom: 0.437
data_GaHg3Se4
_chemical_formula_sum 'Ga1 Hg3 Se4'
_cell_length_a 6.213
_cell_length_b 6.213
_cell_length_c 6.213
_cell_angle_alpha 90.00
_cell_angle_beta 90.00
_cell_angle_gamma 90.00
_space_group_name_H-M_alt 'P -4 3 m'
_space_group_IT_number 215
_space_group_name_Hall 'P -4 2 3'
loop_
_atom_site_label
_atom_site_type_symbol
_atom_site_fract_x
_atom_site_fract_y
_atom_site_fract_z
Ga1 Ga 0.000 0.000 0.000
Hg1 Hg 0.000 0.500 0.500
Se1 Se 0.234 0.234 0.234